No. 1
Entry from Alexandria via LeMat-Bulk: a relaxed BeRe2Pt crystal (PBE-GGA).

Cell and atoms, written as CIF:
```
data_BeRe2Pt
_chemical_formula_sum 'Be1 Re2 Pt1'
_symmetry_space_group_name_H-M 'P 4 m m'
_symmetry_Int_Tables_number 99
_cell_length_a 2.817
_cell_length_b 2.817
_cell_length_c 6.762
_cell_angle_alpha 90.00
_cell_angle_beta 90.00
_cell_angle_gamma 90.00
loop_
_symmetry_equiv_pos_as_xyz
'x,y,z'
'-y,x,z'
'-x,-y,z'
'y,-x,z'
'-x,y,z'
'y,x,z'
'x,-y,z'
'-y,-x,z'
loop_
_atom_site_label
_atom_site_fract_x
_atom_site_fract_y
_atom_site_fract_z
Be1 0.000 0.000 0.000
Re1 0.000 0.000 0.512
Re2 0.500 0.500 0.772
Pt1 0.500 0.500 0.206
```

Density of states at the Fermi level (states/eV/cell): 3.92
Size of the total moment (μB/f.u.): 0.00
V (Å³/atom): 13.4
Formation energy (eV per atom): -0.1795
ρ (Mg/m³): 17.8



No. 2
Entry from Alexandria via LeMat-Bulk: a relaxed Be2RePt crystal (PBE-GGA).

Cell and atoms, written as CIF:
```
data_Be2RePt
_chemical_formula_sum 'Be4 Re2 Pt2'
_symmetry_space_group_name_H-M 'I m m 2'
_symmetry_Int_Tables_number 44
_cell_length_a 2.714
_cell_length_b 3.995
_cell_length_c 8.740
_cell_angle_alpha 90.00
_cell_angle_beta 90.00
_cell_angle_gamma 90.00
loop_
_symmetry_equiv_pos_as_xyz
'x,y,z'
'-x,-y,z'
'-x,y,z'
'x,-y,z'
'x+1/2,y+1/2,z+1/2'
'-x+1/2,-y+1/2,z+1/2'
'-x+1/2,y+1/2,z+1/2'
'x+1/2,-y+1/2,z+1/2'
loop_
_atom_site_label
_atom_site_fract_x
_atom_site_fract_y
_atom_site_fract_z
Be1 0.000 0.000 0.000
Be2 0.000 0.500 0.273
Re1 0.000 0.000 0.507
Pt1 0.000 0.500 0.736
```

Density of states at the Fermi level (states/eV/cell): 4.83
Size of the total moment (μB/f.u.): 0.00
V (Å³/atom): 11.8
Formation energy (eV per atom): -0.1277
ρ (Mg/m³): 14.0



No. 3
Entry from Alexandria via LeMat-Bulk: a relaxed BeRePt crystal (PBE-GGA).

Cell and atoms, written as CIF:
```
data_BeRePt
_chemical_formula_sum 'Be1 Re1 Pt1'
_symmetry_space_group_name_H-M 'P -6 m 2'
_symmetry_Int_Tables_number 187
_symmetry_space_group_name_Hall 'P -6 2'
_cell_length_a 4.1335
_cell_length_b 4.1335
_cell_length_c 2.6795
_cell_angle_alpha 90.00
_cell_angle_beta 90.00
_cell_angle_gamma 120.00
loop_
_atom_site_label
_atom_site_fract_x
_atom_site_fract_y
_atom_site_fract_z
Be1 0.0000 0.0000 0.0000
Re1 0.3333 0.6667 0.5000
Pt1 0.6667 0.3333 0.0000
```

Density of states at the Fermi level (states/eV/cell): 2.42
Size of the total moment (μB/f.u.): 0.00
V (Å³/atom): 13.2
Formation energy (eV per atom): -0.0415
ρ (Mg/m³): 16.3



No. 4
Entry from Alexandria via LeMat-Bulk: a relaxed BeReTcPt2 crystal (PBE-GGA).

Cell and atoms, written as CIF:
```
data_BeReTcPt2
_chemical_formula_sum 'Be1 Re1 Tc1 Pt2'
_symmetry_space_group_name_H-M 'P 4/m m m'
_symmetry_Int_Tables_number 123
_symmetry_space_group_name_Hall '-P 4 2'
_cell_length_a 4.131
_cell_length_b 4.131
_cell_length_c 4.191
_cell_angle_alpha 90.00
_cell_angle_beta 90.00
_cell_angle_gamma 90.00
loop_
_atom_site_label
_atom_site_fract_x
_atom_site_fract_y
_atom_site_fract_z
Be1 0.000 0.000 0.000
Re1 0.500 0.500 0.500
Tc1 0.000 0.000 0.500
Pt1 0.000 0.500 0.000
```

Density of states at the Fermi level (states/eV/cell): 5.61
Size of the total moment (μB/f.u.): 0.00
V (Å³/atom): 14.3
Formation energy (eV per atom): 0.4718
ρ (Mg/m³): 15.9



No. 5
Entry from Alexandria via LeMat-Bulk: a relaxed BeRe2PtW crystal (PBE-GGA).

Cell and atoms, written as CIF:
```
data_BeRe2PtW
_chemical_formula_sum 'Be1 Re2 Pt1 W1'
_symmetry_space_group_name_H-M 'P 4/m m m'
_symmetry_Int_Tables_number 123
_symmetry_space_group_name_Hall '-P 4 2'
_cell_length_a 4.741
_cell_length_b 4.741
_cell_length_c 4.750
_cell_angle_alpha 90.00
_cell_angle_beta 90.00
_cell_angle_gamma 90.00
loop_
_atom_site_label
_atom_site_fract_x
_atom_site_fract_y
_atom_site_fract_z
Be1 0.000 0.000 0.000
Re1 0.000 0.500 0.500
Pt1 0.500 0.500 0.500
W1 0.500 0.500 0.000
```

Density of states at the Fermi level (states/eV/cell): 6.21
Size of the total moment (μB/f.u.): 0.00
V (Å³/atom): 21.4
Formation energy (eV per atom): 2.6567
ρ (Mg/m³): 11.8



No. 6
Entry from Alexandria via LeMat-Bulk: a relaxed ZrBeRePt2 crystal (PBE-GGA).

Cell and atoms, written as CIF:
```
data_ZrBeRePt2
_chemical_formula_sum 'Zr1 Be1 Re1 Pt2'
_symmetry_space_group_name_H-M 'P 4/m m m'
_symmetry_Int_Tables_number 123
_symmetry_space_group_name_Hall '-P 4 2'
_cell_length_a 4.126
_cell_length_b 4.126
_cell_length_c 4.635
_cell_angle_alpha 90.00
_cell_angle_beta 90.00
_cell_angle_gamma 90.00
loop_
_atom_site_label
_atom_site_fract_x
_atom_site_fract_y
_atom_site_fract_z
Zr1 0.000 0.000 0.000
Be1 0.000 0.000 0.500
Re1 0.500 0.500 0.000
Pt1 0.000 0.500 0.500
```

Density of states at the Fermi level (states/eV/cell): 4.59
Size of the total moment (μB/f.u.): 0.00
V (Å³/atom): 15.8
Formation energy (eV per atom): 0.1437
ρ (Mg/m³): 14.2